Compound: In4CuPt
Source: Alexandria
Functional: GGA-PBE
Structure: optimized geometry

Geometry as POSCAR:
```
In4CuPt
1.0
5.529 -0.203 -1.848
3.215 -4.776 0.938
1.457 -3.458 -4.465
Cu In Pt
1 4 1
Cartesian
0.000 0.000 0.000
5.432 -5.549 -1.549
3.827 -3.166 -2.017
6.587 -3.267 -2.939
4.555 -4.892 -4.246
7.651 -6.328 -4.031
```

Computed properties:
DOS at the Fermi energy = 2.94 states/eV/f.u.
mass density = 8.50 g cm⁻³
offset from the most stable computed form = 0.806 eV/atom
DFT total energy = -2.97 eV per atom
E_form = 52.4 kJ per mole of atoms


Compound: Ba3YbRu2O9
Source: Alexandria
Functional: GGA-PBE
Structure: optimized geometry

Geometry as POSCAR:
```
Ba3YbRu2O9
1.0
5.967 0.000 0.000
-2.983 5.167 0.000
0.000 0.000 14.528
O Ba Ru Yb
18 6 4 2
Cartesian
2.983 3.337 13.234
0.000 1.830 1.294
1.585 0.915 8.559
4.382 0.915 13.234
4.382 0.915 8.559
-1.413 2.629 3.632
1.585 0.915 13.234
-1.398 4.252 1.294
0.000 5.077 3.632
4.397 2.539 10.896
2.983 3.337 8.559
-1.398 4.252 5.970
1.398 4.252 1.294
0.000 1.830 5.970
2.983 0.090 10.896
1.398 4.252 5.970
1.413 2.629 3.632
1.570 2.539 10.896
2.983 1.722 1.375
0.000 3.445 8.639
0.000 0.000 3.632
2.983 1.722 5.889
0.000 0.000 10.896
0.000 3.445 13.154
2.983 1.722 9.646
0.000 3.445 4.882
2.983 1.722 12.147
0.000 3.445 2.382
0.000 0.000 0.000
0.000 0.000 7.264
```

Computed properties:
DOS at the Fermi energy = 14.52 states/eV/f.u.
mass density = 6.90 g cm⁻³
DFT total energy = -6.81 eV per atom
formation energy (no corrections) = -2111 meV/atom